# meta-GGA SCAN InAsPd5, single point on PBEsol structure
data_InAsPd5
_chemical_formula_sum 'In1 As1 Pd5'
_cell_length_a 3.9819
_cell_length_b 3.9819
_cell_length_c 6.9649
_cell_angle_alpha 90.00
_cell_angle_beta 90.00
_cell_angle_gamma 90.00
_space_group_name_H-M_alt 'P 4/m m m'
_space_group_IT_number 123
_space_group_name_Hall '-P 4 2'
loop_
_atom_site_label
_atom_site_type_symbol
_atom_site_fract_x
_atom_site_fract_y
_atom_site_fract_z
In1 In 0.0000 0.0000 0.0000
As1 As 0.5000 0.5000 0.5000
Pd1 Pd 0.0000 0.5000 0.2882
Pd2 Pd 0.5000 0.5000 0.0000
# total magnetization: 0.0 μB per formula unit
# DFT formation energy: -0.552 eV per atom